The following is a GGA-PBE calculation of a geometry-optimized Si2BOsPb structure, from Alexandria via LeMat-Bulk.

Computed properties:
Its crystal system is tetragonal. The value obtained for the energy above the lowest structure with this stoichiometry is 0.0 meV per atom. As for the uncorrected formation energy: 0.843 eV/atom.

```
Si2BOsPb
1.0
4.4136 0.0000 0.0000
0.0000 4.4136 0.0000
0.0000 0.0000 4.2254
Si B Os Pb
2 1 1 1
Direct
0.0000 0.5000 0.0000
0.5000 0.0000 0.0000
0.0000 0.0000 0.0000
0.0000 0.0000 0.5000
0.5000 0.5000 0.5000
```

***

The following is a GGA-PBE calculation of a geometry-optimized BOsPbW2 structure, from Alexandria via LeMat-Bulk.

Computed properties:
As for the formation energy from the elements: 7.59 eV/f.u. Its crystal system is tetragonal.

```
BOsPbW2
1.0
4.9229 0.0000 0.0000
0.0000 4.9229 0.0000
0.0000 0.0000 4.0151
B Os Pb W
1 1 1 2
Direct
0.0000 0.0000 0.0000
0.0000 0.0000 0.5000
0.5000 0.5000 0.0000
0.0000 0.5000 0.5000
0.5000 0.0000 0.5000
```

***

The following is a GGA-PBE calculation of a geometry-optimized Y2BOsPb structure, from Alexandria via LeMat-Bulk.

Computed properties:
As for the formation energy from the elements: -1.61 eV/f.u. Its crystal system is tetragonal.

```
Y2BOsPb
1.0
5.0828 0.0000 0.0000
0.0000 5.0828 0.0000
0.0000 0.0000 4.1135
Y B Os Pb
2 1 1 1
Direct
0.0000 0.5000 0.0000
0.5000 0.0000 0.0000
0.0000 0.0000 0.0000
0.0000 0.0000 0.5000
0.5000 0.5000 0.5000
```

***

| no. | VASP energy (eV per atom) |
| --- | --- |
| 1 | -5.649 |
| 2 | -7.987 |
| 3 | -7.230 |